The following is a PBE calculation of CaNd6Sm8 after structural relaxation, from the Alexandria database.

Lattice parameters (Å, degrees): 9.8730 9.8730 18.4421 90.00 90.00 120.00
Space group R-3 (No. 148, hexagonal axes)
Unique sites:
Ca (0.0000, 0.0000, 0.0000) x3
Nd (0.0231, 0.7864, 0.4066) x18
Sm (0.0000, 0.0000, 0.2325) x6
Sm (0.0456, 0.7635, 0.9014) x18

Output
M_tot (Bohr magnetons per cell): 0.0
Total DFT energy (no corrections) (eV per formula unit): -66.05